(i)
VASP calculation (PBE) on crystalline Ac2InPd3 at its relaxed geometry.

Lattice parameters (Å, degrees): 8.239 9.581 15.928 90.00 90.00 90.00
Space group Fmmm (No. 69)
One atom of each set of equivalent atoms:
Ac 0.240 0.000 0.000
Ac 0.250 0.250 0.250
In 0.000 0.000 0.333
Pd 0.000 0.000 0.163
Pd 0.000 0.245 0.415

* theoretical density: 9.4 g cm⁻³



(ii)
VASP calculation (PBE) on crystalline Ac2InPd3 at its relaxed geometry.

Lattice parameters (Å, degrees): 4.209 4.302 17.648 90.00 90.00 90.00
Space group Imm2 (No. 44)
One atom of each set of equivalent atoms:
Ac 0.000 0.000 0.000
Ac 0.000 0.500 0.218
In 0.000 0.000 0.390
Pd 0.000 0.000 0.547
Pd 0.000 0.500 0.643
Pd 0.000 0.500 0.797

* theoretical density: 9.2 g cm⁻³



Quick one: least stable of them? (i)



(i)
VASP calculation (PBE) on crystalline Ac2In3Pd2 at its relaxed geometry.

Lattice parameters (Å, degrees): 11.248 4.352 7.706 90.00 96.05 90.00
Space group C2/m (No. 12)
One atom of each set of equivalent atoms:
Ac 0.124 0.000 0.344
In 0.000 0.500 0.000
In 0.184 0.000 0.865
Pd 0.088 0.500 0.649

* theoretical density: 9.0 g cm⁻³



(ii)
VASP calculation (PBE) on crystalline Ac2In3Pd2 at its relaxed geometry.

Lattice parameters (Å, degrees): 4.711 20.700 7.746 90.00 90.00 90.00
Space group Cmcm (No. 63)
One atom of each set of equivalent atoms:
Ac 0.000 0.057 0.250
Ac 0.000 0.167 0.750
In 0.000 0.218 0.250
In 0.000 0.436 0.066
Pd 0.000 0.305 0.548

* theoretical density: 8.9 g cm⁻³



Quick one: least stable of them? (ii)



(i)
VASP calculation (PBE) on crystalline Ac6In2Pd at its relaxed geometry.

Lattice parameters (Å, degrees): 6.975 9.297 12.707 90.00 122.46 90.00
Space group P2_1/c (No. 14)
One atom of each set of equivalent atoms:
Ac 0.066 0.179 0.443
Ac 0.316 0.675 0.442
Ac 0.379 0.032 0.265
In 0.174 0.122 0.749
Pd 0.000 0.000 0.000

* theoretical density: 8.1 g cm⁻³



(ii)
VASP calculation (PBE) on crystalline Ac6In2Pd at its relaxed geometry.

Lattice parameters (Å, degrees): 9.5274 9.5274 4.1688 90.00 90.00 120.00
Space group P-62m (No. 189)
One atom of each set of equivalent atoms:
Ac 0.0000 0.2437 0.0000
Ac 0.0000 0.5938 0.5000
In 0.3333 0.6667 0.0000
Pd 0.0000 0.0000 0.5000

* theoretical density: 8.6 g cm⁻³



Quick one: least stable of them? (i)



(i)
VASP calculation (PBE) on crystalline Ac2InPd4 at its relaxed geometry.

Lattice parameters (Å, degrees): 5.012 5.012 15.315 90.00 90.00 90.00
Space group I4/mmm (No. 139)
One atom of each set of equivalent atoms:
Ac 0.000 0.000 0.139
In 0.000 0.000 0.500
Pd 0.000 0.000 0.326
Pd 0.000 0.500 0.000

* theoretical density: 8.6 g cm⁻³



(ii)
VASP calculation (PBE) on crystalline Ac2InPd4 at its relaxed geometry.

Lattice parameters (Å, degrees): 10.968 4.623 6.912 90.00 110.09 90.00
Space group C2/m (No. 12)
One atom of each set of equivalent atoms:
Ac 0.150 0.000 0.238
In 0.000 0.500 0.500
Pd 0.105 0.500 0.925
Pd 0.139 0.000 0.700

* theoretical density: 10.0 g cm⁻³



Quick one: least stable of them? (i)



(i)
VASP calculation (PBE) on crystalline Ac2In3Pd5 at its relaxed geometry.

Lattice parameters (Å, degrees): 11.223 13.247 6.228 90.00 90.00 90.00
Space group Ibam (No. 72)
One atom of each set of equivalent atoms:
Ac 0.236 0.128 0.000
In 0.000 0.500 0.250
In 0.092 0.146 0.500
Pd 0.000 0.000 0.250
Pd 0.000 0.293 0.250
Pd 0.173 0.394 0.000

* theoretical density: 9.5 g cm⁻³



(ii)
VASP calculation (PBE) on crystalline Ac2In3Pd5 at its relaxed geometry.

Lattice parameters (Å, degrees): 4.450 27.057 7.558 90.00 90.00 90.00
Space group Cmc2_1 (No. 36)
One atom of each set of equivalent atoms:
Ac 0.000 0.019 0.000
Ac 0.000 0.319 0.118
In 0.000 0.124 0.252
In 0.000 0.287 0.647
In 0.000 0.442 0.177
Pd 0.000 0.109 0.772
Pd 0.000 0.205 0.924
Pd 0.000 0.223 0.357
Pd 0.000 0.382 0.506
Pd 0.000 0.451 0.796

* theoretical density: 9.7 g cm⁻³



Quick one: least stable of them? (ii)



(i)
VASP calculation (PBE) on crystalline Ac2InPd6 at its relaxed geometry.

Lattice parameters (Å, degrees): 10.317 5.966 6.422 90.00 103.77 90.00
Space group C2/m (No. 12)
One atom of each set of equivalent atoms:
Ac 0.138 0.000 0.315
In 0.000 0.500 0.500
Pd 0.121 0.500 0.176
Pd 0.138 0.235 0.820

* theoretical density: 10.4 g cm⁻³



(ii)
VASP calculation (PBE) on crystalline Ac2InPd6 at its relaxed geometry.

Lattice parameters (Å, degrees): 10.326 5.960 6.265 90.00 90.02 90.00
Space group C2/m (No. 12)
One atom of each set of equivalent atoms:
Ac 0.167 0.000 0.293
In 0.000 0.500 0.500
Pd 0.086 0.239 0.823
Pd 0.174 0.500 0.178

* theoretical density: 10.4 g cm⁻³



Quick one: least stable of them? (i)



(i)
VASP calculation (PBE) on crystalline Ac3InPd at its relaxed geometry.

Lattice parameters (Å, degrees): 5.854 7.851 7.898 94.30 90.06 90.00
Space group P1 (No. 1)
One atom of each set of equivalent atoms:
Ac 0.000 0.000 0.000
Ac 0.000 0.369 0.685
Ac 0.001 0.492 0.181
Ac 0.001 0.840 0.547
Ac 0.500 0.136 0.369
Ac 0.500 0.672 0.907
In 0.500 0.243 0.924
In 0.501 0.624 0.441
Pd 0.000 0.160 0.351
Pd 0.502 0.958 0.694

* theoretical density: 8.3 g cm⁻³



(ii)
VASP calculation (PBE) on crystalline Ac3InPd at its relaxed geometry.

Lattice parameters (Å, degrees): 8.437 5.068 16.413 90.00 90.00 90.00
Space group Pnma (No. 62)
One atom of each set of equivalent atoms:
Ac 0.047 0.250 0.140
Ac 0.195 0.250 0.513
Ac 0.218 0.750 0.294
In 0.057 0.750 0.659
Pd 0.077 0.250 0.951

* theoretical density: 8.5 g cm⁻³



(iii)
VASP calculation (PBE) on crystalline Ac3InPd at its relaxed geometry.

Lattice parameters (Å, degrees): 5.852 5.852 5.852 90.00 90.00 90.00
Space group Pm-3m (No. 221)
One atom of each set of equivalent atoms:
Ac 0.000 0.000 0.500
In 0.500 0.500 0.500
Pd 0.000 0.000 0.000

* theoretical density: 7.5 g cm⁻³



Quick one: least stable of them? (iii)



(i)
VASP calculation (PBE) on crystalline Ac4InPd2 at its relaxed geometry.

Lattice parameters (Å, degrees): 7.941 11.324 5.075 90.00 90.00 90.00
Space group Pbam (No. 55)
One atom of each set of equivalent atoms:
Ac 0.123 0.187 0.000
Ac 0.236 0.928 0.500
In 0.000 0.500 0.000
Pd 0.099 0.675 0.500

* theoretical density: 9.0 g cm⁻³



(ii)
VASP calculation (PBE) on crystalline Ac4InPd2 at its relaxed geometry.

Lattice parameters (Å, degrees): 9.388 16.581 7.540 90.00 127.76 90.00
Space group Cc (No. 9)
One atom of each set of equivalent atoms:
Ac 0.000 0.032 0.000
Ac 0.250 0.323 0.676
Ac 0.420 0.239 0.323
Ac 0.468 0.036 0.632
In 0.233 0.133 0.811
Pd 0.139 0.163 0.363
Pd 0.223 0.408 0.025

* theoretical density: 8.8 g cm⁻³



Quick one: least stable of them? (i)